No. 1
DFT (PBE) results for Tb2DyIn6 after structural relaxation.

Cell: 8.915 8.915 3.616 Å, 90.00 90.00 120.00°
Atoms (fractional coordinates):
Tb: 0.333 0.667 0.000
Tb: 0.667 0.333 0.000
Dy: 0.000 0.000 0.500
In: 0.000 0.378 0.500
In: 0.000 0.706 0.000
In: 0.294 0.294 0.000
In: 0.378 0.000 0.500
In: 0.622 0.622 0.500
In: 0.706 0.000 0.000

Total magnetization ... 0.00 μB/f.u.
ρ ... 7.80 g cm⁻³
Space group ... P-62m, No. 189
ΔH_f (0 K) ... -1.62 eV per formula unit
Uncorrected energy ... -31.9 eV per cell
Calculated volume ... 27.648 Å³/atom

---

No. 2
DFT (PBE) results for Nd2BeSe4 after structural relaxation.

Cell: 6.621 6.757 8.085 Å, 90.00 107.92 90.00°
Atoms (fractional coordinates):
Nd: 0.228 0.250 0.056
Nd: 0.255 0.250 0.565
Nd: 0.745 0.750 0.435
Nd: 0.772 0.750 0.944
Be: 0.234 0.750 0.805
Be: 0.766 0.250 0.195
Se: 0.006 0.000 0.745
Se: 0.006 0.500 0.745
Se: 0.416 0.750 0.091
Se: 0.424 0.750 0.616
Se: 0.576 0.250 0.384
Se: 0.584 0.250 0.909
Se: 0.994 0.000 0.255
Se: 0.994 0.500 0.255

Total magnetization ... 0.00 μB/f.u.
ρ ... 5.92 g cm⁻³
Formation energy without anion corrections ... -1.507 eV per atom
Space group ... P2_1/m, No. 11
Uncorrected energy ... -75.5 eV per cell
Calculated volume ... 24.584 Å³/atom